[1]
{
  "formula": "Nd5Cd4Au",
  "functional": "PBE",
  "state": "relaxed",
  "cell": [[3.816, 0.000, 0.000], [0.000, 3.816, 0.000], [0.000, 0.000, 19.229]],
  "species": ["Nd", "Nd", "Nd", "Nd", "Nd", "Cd", "Cd", "Cd", "Cd", "Au"],
  "frac_coords": [[0.000, 0.000, 0.000], [0.000, 0.000, 0.204], [0.000, 0.000, 0.408], [0.000, 0.000, 0.592], [0.000, 0.000, 0.796], [0.500, 0.500, 0.102], [0.500, 0.500, 0.303], [0.500, 0.500, 0.697], [0.500, 0.500, 0.898], [0.500, 0.500, 0.500]],
  "ef_ev_per_fu": -4.07
}

[2]
{
  "formula": "RbSiRuBr2",
  "functional": "PBE",
  "state": "relaxed",
  "cell": [[6.076, 0.000, 0.000], [0.000, 6.076, 0.000], [0.000, 0.000, 5.424]],
  "species": ["Rb", "Si", "Ru", "Br", "Br"],
  "frac_coords": [[0.000, 0.000, 0.000], [0.500, 0.500, 0.500], [0.000, 0.000, 0.500], [0.000, 0.500, 0.000], [0.500, 0.000, 0.000]],
  "formation_energy_uncorrected_mev_per_atom": 1443.9
}

[3]
{
  "formula": "LaCdGe",
  "functional": "PBE",
  "state": "relaxed",
  "cell": [[3.987, 0.000, 0.000], [-0.002, 4.801, 0.000], [-1.943, -2.398, 8.142]],
  "species": ["La", "La", "Cd", "Cd", "Ge", "Ge"],
  "frac_coords": [[0.149, 0.397, 0.295], [0.851, 0.603, 0.705], [0.396, 0.214, 0.928], [0.604, 0.786, 0.072], [0.296, 0.049, 0.596], [0.704, 0.951, 0.404]],
  "ef_ev_per_fu": -1.74
}

[4]
{
  "formula": "CaCu2Ni",
  "functional": "PBE",
  "state": "relaxed",
  "cell": [[2.615, -4.551, 0.000], [2.615, 4.551, 0.000], [-1.189, 0.000, 2.586]],
  "species": ["Ca", "Cu", "Cu", "Ni"],
  "frac_coords": [[0.000, 0.000, 0.000], [0.000, 0.500, 0.500], [0.500, 0.000, 0.500], [0.500, 0.500, 0.000]],
  "ef_ev_per_fu": 1.10
}

[5]
{
  "formula": "NpNiAs",
  "functional": "PBE",
  "state": "relaxed",
  "cell": [[-1.886, 1.886, 4.008], [1.886, -1.886, 4.008], [1.886, 1.886, -4.008]],
  "species": ["Np", "Ni", "As"],
  "frac_coords": [[0.000, 0.000, 0.000], [0.343, 0.343, 0.000], [0.651, 0.651, 0.000]],
  "ef_ev_per_fu": -0.17
}

[6]
{
  "formula": "Ce2NdDySe5",
  "functional": "PBE",
  "state": "relaxed",
  "cell": [[5.133, 0.000, 0.000], [0.000, 5.133, 0.000], [0.000, 0.000, 10.995]],
  "species": ["Ce", "Ce", "Nd", "Dy", "Se", "Se", "Se", "Se", "Se"],
  "frac_coords": [[0.000, 0.000, 0.189], [0.000, 0.000, 0.811], [0.500, 0.500, 0.500], [0.500, 0.500, 0.000], [0.000, 0.000, 0.500], [0.000, 0.500, 0.000], [0.500, 0.000, 0.000], [0.500, 0.500, 0.251], [0.500, 0.500, 0.749]],
  "formation_energy_uncorrected_mev_per_atom": -1309.1
}